[1]
DFT (PBE) results for an optimized crystal structure of Tl2ReNi.

**Magnetic moment**: 0.0 μB/cell
**Uncorrected energy**: -20.0 eV/cell
**Calculated formation energy**: 743 meV/atom
**Density**: 14.48 Mg/m³

Cell: 5.610 5.610 5.029 Å, 110.46 110.46 30.54°
Fractional positions:
Tl 0.000 0.000 0.000
Tl 0.211 0.211 0.618
Re 0.763 0.763 0.147
Ni 0.442 0.442 0.477

[2]
DFT (PBE) results for an optimized crystal structure of Tl2ReNi.

**Magnetic moment**: 2.0 μB/cell
**Uncorrected energy**: -19.0 eV/cell
**Calculated formation energy**: 992 meV/atom
**Density**: 14.63 Mg/m³

Cell: 5.431 5.431 5.431 Å, 136.78 136.78 62.78°
Fractional positions:
Tl 0.000 0.000 0.000
Tl 0.750 0.250 0.500
Re 0.500 0.500 0.000
Ni 0.250 0.750 0.500

[3]
DFT (PBE) results for an optimized crystal structure of TlReNi2.

**Magnetic moment**: 0.0 μB/cell
**Uncorrected energy**: -24.8 eV/cell
**Calculated formation energy**: 390 meV/atom
**Density**: 14.17 Mg/m³

Cell: 2.839 3.559 5.894 Å, 90.00 90.30 90.00°
Fractional positions:
Tl 0.000 0.000 0.000
Re 0.000 0.000 0.500
Ni 0.498 0.500 0.291
Ni 0.502 0.500 0.709

[4]
DFT (PBE) results for an optimized crystal structure of TlReNi2.

**Magnetic moment**: 0.0 μB/cell
**Uncorrected energy**: -24.5 eV/cell
**Calculated formation energy**: 471 meV/atom
**Density**: 14.34 Mg/m³

Cell: 2.766 4.132 5.326 Å, 90.00 104.98 90.00°
Fractional positions:
Tl 0.000 0.000 0.000
Re 0.323 0.500 0.645
Ni 0.607 0.500 0.214
Ni 0.746 0.000 0.487

[5]
DFT (PBE) results for an optimized crystal structure of TlRe3Ni.

**Magnetic moment**: 0.0 μB/cell
**Uncorrected energy**: -27.1 eV/cell
**Calculated formation energy**: 3686 meV/atom
**Density**: 11.72 Mg/m³

Cell: 4.882 4.882 4.882 Å, 90.00 90.00 90.00°
Fractional positions:
Tl 0.000 0.000 0.000
Re 0.000 0.000 0.500
Re 0.000 0.500 0.000
Re 0.500 0.000 0.000
Ni 0.500 0.500 0.500

[6]
DFT (PBE) results for an optimized crystal structure of Tm2ReNi.

**Magnetic moment**: 0.0 μB/cell
**Uncorrected energy**: -24.6 eV/cell
**Calculated formation energy**: 642 meV/atom
**Density**: 12.31 Mg/m³

Cell: 9.918 9.918 9.918 Å, 17.69 17.69 17.69°
Fractional positions:
Tm 0.094 0.094 0.094
Tm 0.906 0.906 0.906
Re 0.000 0.000 0.000
Ni 0.500 0.500 0.500

[7]
DFT (PBE) results for an optimized crystal structure of TmZrReNi.

**Magnetic moment**: 0.0 μB/cell
**Uncorrected energy**: -32.1 eV/cell
**Calculated formation energy**: -204 meV/atom
**Density**: 11.54 Mg/m³

Cell: 4.684 4.684 4.684 Å, 60.00 60.00 60.00°
Fractional positions:
Tm 0.000 0.000 0.000
Zr 0.500 0.500 0.500
Re 0.750 0.750 0.750
Ni 0.250 0.250 0.250

[8]
DFT (PBE) results for an optimized crystal structure of UReNi.

**Magnetic moment**: 0.0 μB/cell
**Uncorrected energy**: -28.8 eV/cell
**Calculated formation energy**: 239 meV/atom
**Density**: 16.32 Mg/m³

Cell: 5.826 5.826 5.826 Å, 150.06 150.06 42.86°
Fractional positions:
U 0.000 0.000 0.000
Re 0.680 0.680 0.000
Ni 0.311 0.311 0.000

[9]
DFT (PBE) results for an optimized crystal structure of UReNi2.

**Magnetic moment**: 0.0 μB/cell
**Uncorrected energy**: -35.9 eV/cell
**Calculated formation energy**: -141 meV/atom
**Density**: 15.13 Mg/m³

Cell: 3.871 3.871 3.967 Å, 90.00 90.00 90.00°
Fractional positions:
U 0.000 0.000 0.000
Re 0.500 0.500 0.000
Ni 0.000 0.500 0.500
Ni 0.500 0.000 0.500

[10]
DFT (PBE) results for an optimized crystal structure of UReNi.

**Magnetic moment**: 0.0 μB/cell
**Uncorrected energy**: -28.8 eV/cell
**Calculated formation energy**: 244 meV/atom
**Density**: 16.51 Mg/m³

Cell: 4.524 4.524 2.740 Å, 90.00 90.00 120.00°
Fractional positions:
U 0.000 0.000 0.000
Re 0.667 0.333 0.344
Ni 0.333 0.667 0.702